Record 1
InTcAs3 | PBE | optimized geometry

Cell and atoms, written as POSCAR:
```
InTcAs3
1.0
4.881 0.000 0.000
0.000 4.881 0.000
0.000 0.000 4.881
In Tc As
1 1 3
Direct
0.000 0.000 0.000
0.500 0.500 0.500
0.000 0.500 0.500
0.500 0.000 0.500
0.500 0.500 0.000
```

* total moment: 0.000 μB per atom
* energy relative to the lowest polymorph listed for this composition: 0.0 kJ per mole of atoms
* crystal system: cubic
* space group: Pm-3m, No. 221
* ΔH_f (0 K): 364 meV per atom

---

Record 2
SmPuIrAu | PBE | optimized geometry

Cell and atoms, written as POSCAR:
```
SmPuIrAu
1.0
0.000 3.558 3.558
3.558 0.000 3.558
3.558 3.558 0.000
Sm Pu Ir Au
1 1 1 1
Direct
0.000 0.000 0.000
0.500 0.500 0.500
0.750 0.750 0.750
0.250 0.250 0.250
```

* total moment: 1.411 μB per atom
* crystal system: cubic
* space group: F-43m, No. 216
* ΔH_f (0 K): -529 meV per atom

---

Record 3
YTcBRu2 | PBE | optimized geometry

Cell and atoms, written as POSCAR:
```
YTcBRu2
1.0
4.244 0.000 0.000
0.000 4.244 0.000
0.000 0.000 4.223
Y Tc B Ru
1 1 1 2
Direct
0.000 0.000 0.000
0.500 0.500 0.000
0.500 0.500 0.500
0.000 0.500 0.500
0.500 0.000 0.500
```

* total moment: 0.275 μB per atom
* crystal system: tetragonal
* space group: P4/mmm, No. 123
* ΔH_f (0 K): -155 meV per atom

---

Record 4
Co4PdPt3 | PBE | optimized geometry

Cell and atoms, written as POSCAR:
```
Co4PdPt3
1.0
-2.616 4.508 2.433
2.616 -4.508 2.433
2.616 4.508 -2.433
Co Pd Pt
4 1 3
Direct
0.181 0.413 0.233
0.181 0.948 0.767
0.214 0.000 0.214
0.786 0.000 0.786
0.623 0.123 0.500
0.215 0.495 0.720
0.659 0.659 0.000
0.776 0.495 0.280
```

* total moment: 1.111 μB per atom
* energy relative to the lowest polymorph listed for this composition: 22.0 kJ per mole of atoms
* crystal system: orthorhombic
* space group: Imm2, No. 44
* ΔH_f (0 K): 189 meV per atom

---

Record 5
MnRuSCl2 | PBE | optimized geometry

Cell and atoms, written as POSCAR:
```
MnRuSCl2
1.0
4.754 0.000 0.000
0.000 4.754 0.000
0.000 0.000 4.266
Mn Ru S Cl
1 1 1 2
Direct
0.000 0.000 0.000
0.500 0.500 0.500
0.000 0.000 0.500
0.000 0.500 0.000
0.500 0.000 0.000
```

* ΔE_f (raw): 0.651 eV/atom
* total moment: 0.577 μB per atom
* energy relative to the lowest polymorph listed for this composition: 42.7 kJ per mole of atoms
* crystal system: tetragonal
* space group: P4/mmm, No. 123

---

Record 6
HIrSeBr2 | PBE | optimized geometry

Cell and atoms, written as POSCAR:
```
HIrSeBr2
1.0
5.113 0.000 0.000
0.000 5.113 0.000
0.000 0.000 3.339
H Ir Se Br
1 1 1 2
Direct
0.000 0.000 0.000
0.500 0.500 0.500
0.000 0.000 0.500
0.000 0.500 0.000
0.500 0.000 0.000
```

* total moment: 0.000 μB per atom
* energy relative to the lowest polymorph listed for this composition: 45.7 kJ per mole of atoms
* crystal system: tetragonal
* space group: P4/mmm, No. 123

---

Q: Look up the total moment of the sixth one.
A: 0.000 μB per atom

---

Repeat the first record exactly.
InTcAs3 | PBE | optimized geometry

Cell and atoms, written as POSCAR:
```
InTcAs3
1.0
4.881 0.000 0.000
0.000 4.881 0.000
0.000 0.000 4.881
In Tc As
1 1 3
Direct
0.000 0.000 0.000
0.500 0.500 0.500
0.000 0.500 0.500
0.500 0.000 0.500
0.500 0.500 0.000
```

* total moment: 0.000 μB per atom
* energy relative to the lowest polymorph listed for this composition: 0.0 kJ per mole of atoms
* crystal system: cubic
* space group: Pm-3m, No. 221
* ΔH_f (0 K): 364 meV per atom

---

Q: Look up the total moment of the fourth one.
A: 1.111 μB per atom